(P)
Here is a relaxed Y2Ho2CBr2Cl3 crystal from the Open Quantum Materials Database. Energies are from PBE.

Cell and atoms, written as POSCAR:
```
Y2Ho2CBr2Cl3
1.0
8.7840 -1.8765 0.0000
8.7840 1.8765 0.0000
-1.7868 0.0000 7.6073
Y Ho C Br Cl
2 2 1 2 3
direct
0.0000 0.0000 0.2107
0.0000 0.0000 0.7893
0.3608 0.3608 0.9232
0.6392 0.6392 0.0768
0.5000 0.5000 0.0000
0.1714 0.1714 0.8230
0.8286 0.8286 0.1770
0.1607 0.1607 0.3325
0.5000 0.5000 0.5000
0.8393 0.8393 0.6675
```

***

(Q)
Here is a relaxed Y2Ho2CBr2Cl3 crystal from the Open Quantum Materials Database. Energies are from PBE.

Cell and atoms, written as POSCAR:
```
Y2Ho2CBr2Cl3
1.0
8.5831 -1.8716 0.0000
8.5831 1.8716 0.0000
-1.7176 0.0000 7.6375
Y Ho C Br Cl
2 2 1 2 3
direct
0.1434 0.1434 0.0744
0.8566 0.8566 0.9256
0.4977 0.4977 0.2075
0.5023 0.5023 0.7925
0.0000 0.0000 0.0000
0.3339 0.3339 0.6458
0.6661 0.6661 0.3542
0.0000 0.0000 0.5000
0.3297 0.3297 0.1659
0.6703 0.6703 0.8341
```

***

The winner here is (P), beating the second structure by 5 meV/atom.

***

(P)
Here is a relaxed Pr2Nd2CI2Br2Cl crystal from the Open Quantum Materials Database. Energies are from PBE.

Cell and atoms, written as POSCAR:
```
Pr2Nd2CI2Br2Cl
1.0
9.5437 -1.9938 0.0000
9.5437 1.9938 0.0000
-1.8312 0.0000 8.1138
Pr Nd C I Br Cl
2 2 1 2 2 1
direct
0.1371 0.1371 0.0742
0.8629 0.8629 0.9258
0.4993 0.4993 0.2112
0.5007 0.5007 0.7888
0.0000 0.0000 0.0000
0.3289 0.3289 0.1985
0.6711 0.6711 0.8015
0.3427 0.3427 0.6529
0.6573 0.6573 0.3471
0.0000 0.0000 0.5000
```

***

(Q)
Here is a relaxed Pr2Nd2CI2Br2Cl crystal from the Open Quantum Materials Database. Energies are from PBE.

Cell and atoms, written as POSCAR:
```
Pr2Nd2CI2Br2Cl
1.0
9.4344 -2.0007 0.0000
9.4344 2.0007 0.0000
-1.6276 0.0000 8.2073
Pr Nd C I Br Cl
2 2 1 2 2 1
direct
0.0030 0.0030 0.2889
0.9970 0.9970 0.7111
0.3637 0.3637 0.4354
0.6363 0.6363 0.5646
0.5000 0.5000 0.5000
0.1662 0.1662 0.8576
0.8338 0.8338 0.1424
0.1695 0.1695 0.3234
0.8305 0.8305 0.6766
0.5000 0.5000 0.0000
```

***

The winner here is (P), beating the second structure by 7 meV/atom.

***

(P)
Here is a relaxed Nd2Sc2CIBr2Cl2 crystal from the Open Quantum Materials Database. Energies are from PBE.

Cell and atoms, written as POSCAR:
```
Nd2Sc2CIBr2Cl2
1.0
8.6587 -1.8955 0.0000
8.6587 1.8955 0.0000
-2.2347 0.0000 7.8265
Nd Sc C I Br Cl
2 2 1 1 2 2
direct
0.1480 0.1480 0.0835
0.8520 0.8520 0.9165
0.4992 0.4992 0.8160
0.5008 0.5008 0.1840
0.0000 0.0000 0.0000
0.0000 0.0000 0.5000
0.3370 0.3370 0.6373
0.6630 0.6630 0.3627
0.3406 0.3406 0.1689
0.6594 0.6594 0.8311
```

***

(Q)
Here is a relaxed Nd2Sc2CIBr2Cl2 crystal from the Open Quantum Materials Database. Energies are from PBE.

Cell and atoms, written as POSCAR:
```
Nd2Sc2CIBr2Cl2
1.0
9.8374 -1.8987 0.0000
9.8374 1.8987 0.0000
-2.1302 0.0000 8.7027
Nd Sc C I Br Cl
2 2 1 1 2 2
direct
0.0006 0.0006 0.1961
0.9994 0.9994 0.8039
0.3833 0.3833 0.9372
0.6167 0.6167 0.0628
0.5000 0.5000 0.0000
0.5000 0.5000 0.5000
0.1565 0.1565 0.8753
0.8435 0.8435 0.1247
0.1501 0.1501 0.2675
0.8499 0.8499 0.7325
```

***

The winner here is (Q), beating the second structure by 32 meV/atom.

***

(P)
Here is a relaxed Nd2Sm2C2I2BrCl2 crystal from the Open Quantum Materials Database. Energies are from PBE.

Cell and atoms, written as POSCAR:
```
Nd2Sm2C2I2BrCl2
1.0
9.6030 -1.9764 0.0000
9.6030 1.9764 0.0000
-1.7908 0.0000 8.1125
Nd Sm C I Br Cl
2 2 2 2 1 2
direct
0.0033 0.0033 0.3003
0.9967 0.9967 0.6997
0.3442 0.3442 0.4164
0.6558 0.6558 0.5836
0.4627 0.4627 0.4796
0.5373 0.5373 0.5204
0.1648 0.1648 0.8738
0.8352 0.8352 0.1262
0.5000 0.5000 0.0000
0.1715 0.1715 0.3502
0.8285 0.8285 0.6498
```

***

(Q)
Here is a relaxed Nd2Sm2C2I2BrCl2 crystal from the Open Quantum Materials Database. Energies are from PBE.

Cell and atoms, written as POSCAR:
```
Nd2Sm2C2I2BrCl2
1.0
9.6556 -1.9625 0.0000
9.6556 1.9625 0.0000
-1.9205 0.0000 8.0374
Nd Sm C I Br Cl
2 2 2 2 1 2
direct
0.1575 0.1575 0.0840
0.8425 0.8425 0.9160
0.4973 0.4973 0.1981
0.5027 0.5027 0.8019
0.0373 0.0373 0.0184
0.9627 0.9627 0.9816
0.3377 0.3377 0.6195
0.6623 0.6623 0.3805
0.0000 0.0000 0.5000
0.3318 0.3318 0.1615
0.6682 0.6682 0.8385
```

***

(R)
Here is a relaxed Nd2Sm2C2I2BrCl2 crystal from the Open Quantum Materials Database. Energies are from PBE.

Cell and atoms, written as POSCAR:
```
Nd2Sm2C2I2BrCl2
1.0
9.9604 -1.9768 0.0000
9.9604 1.9768 0.0000
-2.0613 0.0000 7.9763
Nd Sm C I Br Cl
2 2 2 2 1 2
direct
0.0022 0.0022 0.2036
0.9978 0.9978 0.7964
0.3483 0.3483 0.8940
0.6517 0.6517 0.1060
0.4636 0.4636 0.9765
0.5364 0.5364 0.0235
0.1675 0.1675 0.8179
0.8325 0.8325 0.1821
0.5000 0.5000 0.5000
0.1550 0.1550 0.3464
0.8450 0.8450 0.6536
```

***

The winner here is (R), beating the second structure by 12 meV/atom.

***

(P)
Here is a relaxed Pr4CI2Br2Cl crystal from the Open Quantum Materials Database. Energies are from PBE.

Cell and atoms, written as POSCAR:
```
Pr4CI2Br2Cl
1.0
9.6031 -2.0086 0.0000
9.6031 2.0086 0.0000
-1.7796 0.0000 8.1551
Pr C I Br Cl
4 1 2 2 1
direct
0.0010 0.0010 0.2871
0.3638 0.3638 0.4269
0.6362 0.6362 0.5731
0.9990 0.9990 0.7129
0.5000 0.5000 0.5000
0.1726 0.1726 0.3031
0.8274 0.8274 0.6969
0.1576 0.1576 0.8448
0.8424 0.8424 0.1552
0.5000 0.5000 0.0000
```

***

(Q)
Here is a relaxed Pr4CI2Br2Cl crystal from the Open Quantum Materials Database. Energies are from PBE.

Cell and atoms, written as POSCAR:
```
Pr4CI2Br2Cl
1.0
9.4576 -2.0109 0.0000
9.4576 2.0109 0.0000
-1.6400 0.0000 8.2295
Pr C I Br Cl
4 1 2 2 1
direct
0.0030 0.0030 0.2887
0.3625 0.3625 0.4341
0.6375 0.6375 0.5659
0.9970 0.9970 0.7113
0.5000 0.5000 0.5000
0.1659 0.1659 0.8610
0.8341 0.8341 0.1390
0.1693 0.1693 0.3205
0.8307 0.8307 0.6795
0.5000 0.5000 0.0000
```

***

The winner here is (P), beating the second structure by 11 meV/atom.

***

(P)
Here is a relaxed Pr2Sc2CI2Br2Cl crystal from the Open Quantum Materials Database. Energies are from PBE.

Cell and atoms, written as POSCAR:
```
Pr2Sc2CI2Br2Cl
1.0
9.0323 -1.9128 0.0000
9.0323 1.9128 0.0000
-1.8337 0.0000 7.9998
Pr Sc C I Br Cl
2 2 1 2 2 1
direct
0.1413 0.1413 0.0684
0.8587 0.8587 0.9316
0.4991 0.4991 0.1868
0.5009 0.5009 0.8132
0.0000 0.0000 0.0000
0.3417 0.3417 0.6284
0.6583 0.6583 0.3716
0.3414 0.3414 0.1980
0.6586 0.6586 0.8020
0.0000 0.0000 0.5000
```

***

(Q)
Here is a relaxed Pr2Sc2CI2Br2Cl crystal from the Open Quantum Materials Database. Energies are from PBE.

Cell and atoms, written as POSCAR:
```
Pr2Sc2CI2Br2Cl
1.0
9.1827 -1.9083 0.0000
9.1827 1.9083 0.0000
-1.7677 0.0000 7.9501
Pr Sc C I Br Cl
2 2 1 2 2 1
direct
0.1394 0.1394 0.0751
0.8606 0.8606 0.9249
0.4996 0.4996 0.1879
0.5004 0.5004 0.8121
0.0000 0.0000 0.0000
0.3361 0.3361 0.2143
0.6639 0.6639 0.7857
0.3529 0.3529 0.6487
0.6471 0.6471 0.3513
0.0000 0.0000 0.5000
```

***

The winner here is (Q), beating the second structure by 18 meV/atom.

***

(P)
Here is a relaxed Pr2Sc2CIBr2Cl2 crystal from the Open Quantum Materials Database. Energies are from PBE.

Cell and atoms, written as POSCAR:
```
Pr2Sc2CIBr2Cl2
1.0
8.5843 -1.9129 0.0000
8.5843 1.9129 0.0000
-2.0500 0.0000 8.7749
Pr Sc C I Br Cl
2 2 1 1 2 2
direct
0.0016 0.0016 0.3046
0.9984 0.9984 0.6954
0.3651 0.3651 0.4385
0.6349 0.6349 0.5615
0.5000 0.5000 0.5000
0.5000 0.5000 0.0000
0.1762 0.1762 0.7851
0.8238 0.8238 0.2149
0.1731 0.1731 0.3889
0.8269 0.8269 0.6111
```

***

(Q)
Here is a relaxed Pr2Sc2CIBr2Cl2 crystal from the Open Quantum Materials Database. Energies are from PBE.

Cell and atoms, written as POSCAR:
```
Pr2Sc2CIBr2Cl2
1.0
8.8469 -1.8967 0.0000
8.8469 1.8967 0.0000
-2.0115 0.0000 7.8656
Pr Sc C I Br Cl
2 2 1 1 2 2
direct
0.1454 0.1454 0.0823
0.8546 0.8546 0.9177
0.4992 0.4992 0.8155
0.5008 0.5008 0.1845
0.0000 0.0000 0.0000
0.0000 0.0000 0.5000
0.3376 0.3376 0.1921
0.6624 0.6624 0.8079
0.3502 0.3502 0.6585
0.6498 0.6498 0.3415
```

***

(R)
Here is a relaxed Pr2Sc2CIBr2Cl2 crystal from the Open Quantum Materials Database. Energies are from PBE.

Cell and atoms, written as POSCAR:
```
Pr2Sc2CIBr2Cl2
1.0
8.7063 -1.9003 0.0000
8.7063 1.9003 0.0000
-2.2609 0.0000 7.8506
Pr Sc C I Br Cl
2 2 1 1 2 2
direct
0.1487 0.1487 0.0844
0.8513 0.8513 0.9156
0.4995 0.4995 0.8165
0.5005 0.5005 0.1835
0.0000 0.0000 0.0000
0.0000 0.0000 0.5000
0.3385 0.3385 0.6357
0.6615 0.6615 0.3643
0.3408 0.3408 0.1707
0.6592 0.6592 0.8293
```

***

The winner here is (P), beating the second structure by 32 meV/atom.

***

(P)
Here is a relaxed Sm2Y2CI2Br2Cl crystal from the Open Quantum Materials Database. Energies are from PBE.

Cell and atoms, written as POSCAR:
```
Sm2Y2CI2Br2Cl
1.0
9.3367 -1.9362 0.0000
9.3367 1.9362 0.0000
-1.6462 0.0000 7.9534
Sm Y C I Br Cl
2 2 1 2 2 1
direct
0.1353 0.1353 0.0722
0.8647 0.8647 0.9278
0.4982 0.4982 0.2043
0.5018 0.5018 0.7957
0.0000 0.0000 0.0000
0.3291 0.3291 0.2004
0.6709 0.6709 0.7996
0.3465 0.3465 0.6550
0.6535 0.6535 0.3450
0.0000 0.0000 0.5000
```

***

(Q)
Here is a relaxed Sm2Y2CI2Br2Cl crystal from the Open Quantum Materials Database. Energies are from PBE.

Cell and atoms, written as POSCAR:
```
Sm2Y2CI2Br2Cl
1.0
9.2165 -1.9431 0.0000
9.2165 1.9431 0.0000
-1.6609 0.0000 7.9838
Sm Y C I Br Cl
2 2 1 2 2 1
direct
0.1369 0.1369 0.0689
0.8631 0.8631 0.9311
0.4971 0.4971 0.2031
0.5029 0.5029 0.7969
0.0000 0.0000 0.0000
0.3366 0.3366 0.6327
0.6634 0.6634 0.3673
0.3333 0.3333 0.1802
0.6667 0.6667 0.8198
0.0000 0.0000 0.5000
```

***

The winner here is (P), beating the second structure by 14 meV/atom.

***

(P)
Here is a relaxed Sm2Y2CI2Br2Cl crystal from the Open Quantum Materials Database. Energies are from PBE.

Cell and atoms, written as POSCAR:
```
Sm2Y2CI2Br2Cl
1.0
9.4227 -1.9487 0.0000
9.4227 1.9487 0.0000
-1.8264 0.0000 7.9136
Sm Y C I Br Cl
2 2 1 2 2 1
direct
0.0002 0.0002 0.2115
0.9998 0.9998 0.7885
0.3683 0.3683 0.9272
0.6317 0.6317 0.0728
0.5000 0.5000 0.0000
0.1710 0.1710 0.8136
0.8290 0.8290 0.1864
0.1606 0.1606 0.3393
0.8394 0.8394 0.6607
0.5000 0.5000 0.5000
```

***

(Q)
Here is a relaxed Sm2Y2CI2Br2Cl crystal from the Open Quantum Materials Database. Energies are from PBE.

Cell and atoms, written as POSCAR:
```
Sm2Y2CI2Br2Cl
1.0
9.2845 -1.9521 0.0000
9.2845 1.9521 0.0000
-1.5665 0.0000 8.0069
Sm Y C I Br Cl
2 2 1 2 2 1
direct
0.0036 0.0036 0.2912
0.9964 0.9964 0.7088
0.3677 0.3677 0.4341
0.6323 0.6323 0.5659
0.5000 0.5000 0.5000
0.1660 0.1660 0.8557
0.8340 0.8340 0.1443
0.1703 0.1703 0.3347
0.8297 0.8297 0.6653
0.5000 0.5000 0.0000
```

***

The winner here is (P), beating the second structure by 10 meV/atom.

***

(P)
Here is a relaxed La2Nd2CBr3Cl2 crystal from the Open Quantum Materials Database. Energies are from PBE.

Cell and atoms, written as POSCAR:
```
La2Nd2CBr3Cl2
1.0
9.2660 -1.9879 0.0000
9.2660 1.9879 0.0000
-2.2996 0.0000 8.0568
La Nd C Br Cl
2 2 1 3 2
direct
0.1447 0.1447 0.0918
0.8553 0.8553 0.9082
0.5001 0.5001 0.2071
0.4999 0.4999 0.7929
0.0000 0.0000 0.0000
0.0000 0.0000 0.5000
0.3319 0.3319 0.1704
0.6681 0.6681 0.8296
0.3410 0.3410 0.6528
0.6590 0.6590 0.3472
```

***

(Q)
Here is a relaxed La2Nd2CBr3Cl2 crystal from the Open Quantum Materials Database. Energies are from PBE.

Cell and atoms, written as POSCAR:
```
La2Nd2CBr3Cl2
1.0
8.9836 -1.9974 0.0000
8.9836 1.9974 0.0000
-2.0289 0.0000 8.3449
La Nd C Br Cl
2 2 1 3 2
direct
0.0042 0.0042 0.2936
0.9958 0.9958 0.7064
0.3555 0.3555 0.4186
0.6445 0.6445 0.5814
0.5000 0.5000 0.5000
0.1692 0.1692 0.8433
0.5000 0.5000 0.0000
0.8308 0.8308 0.1567
0.1742 0.1742 0.3610
0.8258 0.8258 0.6390
```

***

The winner here is (P), beating the second structure by 5 meV/atom.